# Rb2CeSbS5 PBE optimized geometry
data_Rb2CeSbS5
_chemical_formula_sum 'Rb8 Ce4 Sb4 S20'
_space_group_name_H-M_alt 'C m c 21'
_space_group_IT_number 36
_space_group_name_Hall 'C 2c -2'
_cell_length_a 4.4097
_cell_length_b 19.0386
_cell_length_c 14.1028
_cell_angle_alpha 90.00
_cell_angle_beta 90.00
_cell_angle_gamma 90.00
loop_
_atom_site_label
_atom_site_fract_x
_atom_site_fract_y
_atom_site_fract_z
_atom_site_occupancy
Rb1 0.0000 0.1172 0.0000 1
Rb2 0.0000 0.1338 0.6534 1
Ce1 0.0000 0.2072 0.3608 1
Sb1 0.0000 0.4441 0.7583 1
S1 0.0000 0.0462 0.3451 1
S2 0.0000 0.3011 0.9737 1
S3 0.0000 0.3182 0.7235 1
S4 0.0000 0.3365 0.3304 1
S5 0.0000 0.4985 0.6107 1
# **Formation energy (no corrections)**: -1.063 eV/atom
# **Size of the total moment**: 0.20 μB/f.u.
# **Mass density**: 3.328 g/cm3